Computed, not measured: a geometry-optimized Sr2CrAu structure at the PBE-GGA level of DFT.

Calculated values
**Size of the total moment**: 1.29 μB per atom
**V**: 109 Å³/f.u.
**E_form**: 236 meV/atom
**Offset from the most stable computed form**: 307 meV/atom

Unit cell a=5.3656 b=5.3656 c=5.3656 alpha=60.00 beta=60.00 gamma=60.00
Fractional positions:
Au  0.5000  0.5000  0.5000
Cr  0.7500  0.7500  0.7500
Sr  0.0000  0.0000  0.0000
Sr  0.2500  0.2500  0.2500



Computed, not measured: a geometry-optimized Dy3SbP structure at the PBE-GGA level of DFT.

Calculated values
**Size of the total moment**: 0.00 μB per atom
**V**: 140 Å³/f.u.
**Formation energy from raw total energies**: -82.61 kJ per mole of atoms

Unit cell a=7.4834 b=5.7288 c=13.0886 alpha=90.00 beta=90.00 gamma=90.00
Fractional positions:
Dy  0.8417  0.1025  0.1138
Dy  0.6583  0.6025  0.6138
Dy  0.6583  0.6025  0.8862
Dy  0.1583  0.8975  0.6138
Dy  0.1583  0.8975  0.8862
Dy  0.3417  0.3975  0.3862
Dy  0.3417  0.3975  0.1138
Dy  0.8417  0.1025  0.3862
Dy  0.5252  0.1123  0.7500
Dy  0.9748  0.6123  0.2500
Dy  0.4748  0.8877  0.2500
Dy  0.0252  0.3877  0.7500
Sb  0.0000  0.5000  0.0000
Sb  0.5000  0.0000  0.5000
Sb  0.5000  0.0000  0.0000
Sb  0.0000  0.5000  0.5000
P  0.3665  0.6222  0.7500
P  0.1335  0.1222  0.2500
P  0.6335  0.3778  0.2500
P  0.8665  0.8778  0.7500



Computed, not measured: a geometry-optimized BaLi8Mg4 structure at the PBE-GGA level of DFT.

Calculated values
**Size of the total moment**: 0.00 μB per atom
**V**: 324 Å³/f.u.
**E_form**: -9 meV/atom

Unit cell a=6.0426 b=7.9256 c=7.9256 alpha=81.64 beta=67.59 gamma=67.59
Fractional positions:
Ba  0.0000  0.0000  0.0000
Li  0.0000  0.3579  0.6421
Li  0.0000  0.6421  0.3579
Li  0.3579  0.6421  0.6421
Li  0.6421  0.3579  0.3579
Li  0.5000  0.7698  0.2302
Li  0.5000  0.2302  0.7698
Li  0.2698  0.2302  0.2302
Li  0.7302  0.7698  0.7698
Mg  0.0000  0.0000  0.5000
Mg  0.5000  0.0000  0.5000
Mg  0.0000  0.5000  0.0000
Mg  0.5000  0.5000  0.0000



Computed, not measured: a geometry-optimized K2ScMn structure at the PBE-GGA level of DFT.

Calculated values
**Size of the total moment**: 0.56 μB per atom
**V**: 187 Å³/f.u.
**E_form**: 961 meV/atom
**Offset from the most stable computed form**: 458 meV/atom

Unit cell a=12.2573 b=12.2573 c=9.0173 alpha=47.18 beta=47.18 gamma=90.00
Fractional positions:
Sc  0.5000  0.5000  0.0000
Sc  0.2500  0.7500  0.5000
K  0.7611  0.1250  0.2500
K  0.9889  0.6250  0.2500
K  0.3750  0.2389  0.7500
K  0.8750  0.0111  0.7500
Mn  0.0000  0.0000  0.0000
Mn  0.7500  0.2500  0.5000



Computed, not measured: a geometry-optimized TaAl2Os structure at the PBE-GGA level of DFT.

Calculated values
**Size of the total moment**: 0.00 μB per atom
**V**: 68 Å³/f.u.
**E_form**: 274 meV/atom
**Offset from the most stable computed form**: 659 meV/atom

Unit cell a=7.0930 b=7.0930 c=5.6904 alpha=51.45 beta=51.45 gamma=90.00
Fractional positions:
Os  0.0000  0.0000  0.0000
Os  0.7500  0.2500  0.5000
Al  0.6541  0.1250  0.2500
Al  0.0959  0.6250  0.2500
Al  0.3750  0.3459  0.7500
Al  0.8750  0.9041  0.7500
Ta  0.5000  0.5000  0.0000
Ta  0.2500  0.7500  0.5000



Computed, not measured: a geometry-optimized LiFe2Co structure at the PBE-GGA level of DFT.

Calculated values
**Size of the total moment**: 1.59 μB per atom
**V**: 46 Å³/f.u.
**E_form**: 194 meV/atom
**Offset from the most stable computed form**: 85 meV/atom

Unit cell a=4.0462 b=4.0462 c=4.0462 alpha=121.74 beta=121.74 gamma=87.01
Fractional positions:
Co  0.7500  0.2500  0.5000
Fe  0.0000  0.0000  0.0000
Fe  0.2500  0.7500  0.5000
Li  0.5000  0.5000  0.0000



Computed, not measured: a geometry-optimized Zn2PbBr structure at the PBE-GGA level of DFT.

Calculated values
**Size of the total moment**: 0.00 μB per atom
**V**: 102 Å³/f.u.
**Offset from the most stable computed form**: 155 meV/atom
**Formation energy from raw total energies**: 7.31 kJ per mole of atoms

Unit cell a=3.4530 b=5.1828 c=5.6932 alpha=90.00 beta=90.00 gamma=90.00
Fractional positions:
Br  0.5000  0.0000  0.5000
Pb  0.0000  0.5000  0.5000
Zn  0.0000  0.0000  0.0000
Zn  0.5000  0.5000  0.0000



Computed, not measured: a geometry-optimized Nd8P3Se4O structure at the PBE-GGA level of DFT.

Calculated values
**Size of the total moment**: 0.00 μB per atom
**V**: 402 Å³/f.u.
**Formation energy from raw total energies**: -178.25 kJ per mole of atoms

Unit cell a=8.1844 b=8.3818 c=8.1842 alpha=119.22 beta=120.00 gamma=90.00
Fractional positions:
Nd  0.2345  0.7207  0.9863
Nd  0.2346  0.7208  0.4691
Nd  0.2566  0.2698  0.5132
Nd  0.7518  0.7207  0.9863
Nd  0.2482  0.2793  0.0137
Nd  0.7434  0.7302  0.4868
Nd  0.7654  0.2792  0.5309
Nd  0.7655  0.2793  0.0137
P  0.5000  0.5000  0.0000
P  0.5000  0.5000  0.5000
P  0.0000  0.5000  0.5000
Se  0.5000  0.0000  0.0000
Se  0.5000  0.0000  0.5000
Se  0.0000  0.0000  0.0000
Se  0.0000  0.0000  0.5000
O  0.0000  0.5000  0.0000



Which value of V does entry 7 give? 102 Å³/f.u.



What is the formula in the first record? Sr2CrAu



Which of these has the highest size of the total moment? LiFe2Co



Among the records above, which one has the highest size of the total moment? LiFe2Co